# KBaCr2

An optimized crystal structure of KBaCr2 (GGA-PBE, the Alexandria database).

Lattice parameters (Å, degrees): 6.3652 6.3652 6.3652 132.18 132.18 69.95
With the nearest neighbours (Å) after each atom.
Fractional coordinates of all 4 atoms:
Ba  0.7500  0.2500  0.5000  8 Cr 3.65-3.67, 4 K 3.67
Cr  0.2500  0.7500  0.5000  4 Ba 3.65, 4 K 3.67, 4 Cr 3.67
Cr  0.0000  0.0000  0.0000  4 K 3.65, 4 Ba 3.67, 4 Cr 3.67
K  0.5000  0.5000  0.0000  8 Cr 3.65-3.67, 4 Ba 3.67

Calculated values
**Calculated formation energy**: 1.097 eV per atom
**Total magnetic moment**: 9.7 Bohr magnetons per cell
**Space-group type**: I-4m2, No. 119